The following is a DFT calculation (PBE+U) of CaP2WO after structural relaxation.

Mass density = 5.4 Mg/m³
Density of states at the Fermi level = 1.109 states/eV/cell
Distance to the lowest polymorph of the same formula = 0.00 kcal/mol of atoms

Cell lengths 4.8876, 4.8876, 3.8965 Å; angles 90.00, 90.00, 90.00 degrees
Closest atoms and distances in Å follow each position.
Space group P4/mmm (No. 123)
Symmetry-distinct sites (fractional):
1 Ca 0.0000 0.0000 0.0000 x1  8 P 3.13, 4 O 3.46
2 P 0.0000 0.5000 0.5000 x2  2 W 2.44
3 W 0.5000 0.5000 0.5000 x1  2 O 1.95
4 O 0.5000 0.5000 0.0000 x1  2 W 1.95